Record 1
DFT (PBE) results for crystalline ScCu2 at its relaxed geometry.

M_tot in μB per atom: 0.0000
SG: I4/mcm (140)
Formation energy from the elements in eV/atom: -0.02

a = 5.3773 Å, b = 5.3773 Å, c = 5.3773 Å
α = 125.31°, β = 125.31°, γ = 81.03°
Fractional positions:
Sc 0.7500 0.7500 0.0000
Sc 0.2500 0.2500 0.0000
Cu 0.6661 0.8339 0.5000
Cu 0.3339 0.1661 0.5000
Cu 0.8339 0.3339 0.1677
Cu 0.1661 0.6661 0.8323

=====

Record 2
DFT (PBE) results for crystalline TaTeI at its relaxed geometry.

M_tot in μB per atom: 0.0000
SG: P-1 (2)
Excess energy over the best structure of this formula in the dataset in meV/atom: 0.0
Raw formation energy in eV per atom: -0.2787

a = 3.6179 Å, b = 6.4789 Å, c = 8.4664 Å
α = 104.42°, β = 91.66°, γ = 90.00°
Fractional positions:
Ta 0.2504 0.1881 0.0059
Ta 0.7496 0.8119 0.9941
Te 0.7374 0.3616 0.8124
Te 0.2626 0.6384 0.1876
I 0.2323 0.8283 0.7372
I 0.7677 0.1717 0.2628

=====

Record 3
DFT (PBE) results for crystalline KZnCo2 at its relaxed geometry.

M_tot in μB per atom: 0.6862
SG: P4/mmm (123)
Formation energy from the elements in eV/atom: 0.72

a = 2.7312 Å, b = 2.7312 Å, c = 8.8665 Å
α = 90.00°, β = 90.00°, γ = 89.96°
Site moments in Bohr magnetons follow the coordinates.
Fractional positions:
Co 0.0000 0.0000 0.9409  1.53
Co 0.0000 0.0000 0.5591  1.53
K 0.5000 0.5000 0.2500  -0.05
Zn 0.5000 0.5000 0.7500  -0.05

=====

| no. | ρ (kg/m³) |
| --- | --- |
| 1 | 5727 |
| 2 | 7528 |
| 3 | 5583 |